No. 1
! KNi2Pt (GGA-PBE, optimized geometry); values from VASP
! **Formation enthalpy at 0 K**: 0.51 eV per atom
! **Total DFT energy (no corrections)**: -16.68 eV per formula unit
&SYSTEM
  ibrav = 0, nat = 16, ntyp = 3
/
ATOMIC_SPECIES
K 39.10 K.upf
Ni 58.69 Ni.upf
Pt 195.08 Pt.upf
CELL_PARAMETERS angstrom
4.804 0.000 0.000
0.000 4.804 0.000
0.000 0.000 16.579
ATOMIC_POSITIONS crystal
K 0.000 0.250 0.375
K 0.000 0.750 0.625
K 0.500 0.250 0.125
K 0.500 0.750 0.875
Ni 0.000 0.000 0.000
Ni 0.000 0.500 0.000
Ni 0.250 0.250 0.750
Ni 0.250 0.750 0.250
Ni 0.500 0.000 0.500
Ni 0.500 0.500 0.500
Ni 0.750 0.250 0.750
Ni 0.750 0.750 0.250
Pt 0.000 0.250 0.875
Pt 0.000 0.750 0.125
Pt 0.500 0.250 0.625
Pt 0.500 0.750 0.375



No. 2
! NaMg2Au (GGA-PBE, optimized geometry); values from VASP
! **Formation enthalpy at 0 K**: -0.23 eV per atom
! **Total DFT energy (no corrections)**: -8.71 eV per formula unit
&SYSTEM
  ibrav = 0, nat = 12, ntyp = 3
/
ATOMIC_SPECIES
Na 22.99 Na.upf
Mg 24.30 Mg.upf
Au 196.97 Au.upf
CELL_PARAMETERS angstrom
4.706 0.000 0.000
-2.353 4.075 0.000
0.000 0.000 15.734
ATOMIC_POSITIONS crystal
Na 0.000 0.000 0.000
Na 0.333 0.667 0.667
Na 0.667 0.333 0.333
Mg 0.000 0.000 0.205
Mg 0.000 0.000 0.452
Mg 0.333 0.667 0.119
Mg 0.333 0.667 0.872
Mg 0.667 0.333 0.538
Mg 0.667 0.333 0.786
Au 0.000 0.000 0.811
Au 0.333 0.667 0.477
Au 0.667 0.333 0.144



No. 3
! ZnAgAsBr2 (GGA-PBE, optimized geometry); values from VASP
! **Total DFT energy (no corrections)**: -9.92 eV per formula unit
&SYSTEM
  ibrav = 0, nat = 5, ntyp = 4
/
ATOMIC_SPECIES
Zn 65.41 Zn.upf
Ag 107.87 Ag.upf
As 74.92 As.upf
Br 79.90 Br.upf
CELL_PARAMETERS angstrom
5.338 0.000 0.000
0.000 5.338 0.000
0.000 0.000 5.201
ATOMIC_POSITIONS crystal
Zn 0.000 0.000 0.000
Ag 0.500 0.500 0.500
As 0.500 0.500 0.000
Br 0.000 0.500 0.500
Br 0.500 0.000 0.500



No. 4
! PaNbP (GGA-PBE, optimized geometry); values from VASP
! **Formation enthalpy at 0 K**: -0.53 eV per atom
! **Total DFT energy (no corrections)**: -26.56 eV per formula unit
&SYSTEM
  ibrav = 0, nat = 6, ntyp = 3
/
ATOMIC_SPECIES
Pa 231.04 Pa.upf
Nb 92.91 Nb.upf
P 30.97 P.upf
CELL_PARAMETERS angstrom
3.316 0.000 0.000
0.000 3.316 0.000
0.000 0.000 10.448
ATOMIC_POSITIONS crystal
Pa 0.000 0.000 0.000
Pa 0.500 0.500 0.500
Nb 0.000 0.000 0.709
Nb 0.500 0.500 0.209
P 0.000 0.000 0.311
P 0.500 0.500 0.811



No. 5
! ZrV5 (GGA-PBE, optimized geometry); values from VASP
! **Formation enthalpy at 0 K**: 0.14 eV per atom
! **Total DFT energy (no corrections)**: -53.30 eV per formula unit
&SYSTEM
  ibrav = 0, nat = 12, ntyp = 2
/
ATOMIC_SPECIES
Zr 91.22 Zr.upf
V 50.94 V.upf
CELL_PARAMETERS angstrom
4.450 0.000 0.000
0.000 13.134 0.000
0.000 0.000 3.098
ATOMIC_POSITIONS crystal
Zr 0.000 0.000 0.000
Zr 0.500 0.500 0.000
V 0.000 0.183 0.500
V 0.000 0.330 0.000
V 0.000 0.500 0.500
V 0.000 0.670 0.000
V 0.000 0.817 0.500
V 0.500 0.000 0.500
V 0.500 0.170 0.000
V 0.500 0.317 0.500
V 0.500 0.683 0.500
V 0.500 0.830 0.000



No. 6
! HOsSe2 (GGA-PBE, optimized geometry); values from VASP
! **Total DFT energy (no corrections)**: -18.30 eV per formula unit
&SYSTEM
  ibrav = 0, nat = 12, ntyp = 3
/
ATOMIC_SPECIES
H 1.01 H.upf
Os 190.23 Os.upf
Se 78.96 Se.upf
CELL_PARAMETERS angstrom
2.939 0.000 0.000
-1.469 2.545 0.000
0.000 0.000 23.092
ATOMIC_POSITIONS crystal
H 0.000 0.000 0.000
H 0.333 0.667 0.667
H 0.667 0.333 0.333
Os 0.000 0.000 0.500
Os 0.333 0.667 0.167
Os 0.667 0.333 0.833
Se 0.000 0.000 0.397
Se 0.000 0.000 0.603
Se 0.333 0.667 0.064
Se 0.333 0.667 0.269
Se 0.667 0.333 0.731
Se 0.667 0.333 0.936



No. 7
! ScPtSe2 (GGA-PBE, optimized geometry); values from VASP
! **Total DFT energy (no corrections)**: -22.16 eV per formula unit
&SYSTEM
  ibrav = 0, nat = 12, ntyp = 3
/
ATOMIC_SPECIES
Sc 44.96 Sc.upf
Pt 195.08 Pt.upf
Se 78.96 Se.upf
CELL_PARAMETERS angstrom
3.769 0.000 0.000
-1.885 3.264 0.000
0.000 0.000 23.667
ATOMIC_POSITIONS crystal
Sc 0.000 0.000 0.000
Sc 0.333 0.667 0.667
Sc 0.667 0.333 0.333
Pt 0.000 0.000 0.500
Pt 0.333 0.667 0.167
Pt 0.667 0.333 0.833
Se 0.000 0.000 0.399
Se 0.000 0.000 0.601
Se 0.333 0.667 0.066
Se 0.333 0.667 0.268
Se 0.667 0.333 0.732
Se 0.667 0.333 0.934



No. 8
! Ca2ZrSiO6 (GGA-PBE, optimized geometry); values from VASP
! **Total DFT energy (no corrections)**: -77.54 eV per formula unit
&SYSTEM
  ibrav = 0, nat = 10, ntyp = 4
/
ATOMIC_SPECIES
Ca 40.08 Ca.upf
Zr 91.22 Zr.upf
Si 28.09 Si.upf
O 16.00 O.upf
CELL_PARAMETERS angstrom
5.274 0.000 0.000
0.000 5.274 0.000
0.000 0.000 4.529
ATOMIC_POSITIONS crystal
Ca 0.000 0.500 0.000
Ca 0.500 0.000 0.000
Zr 0.000 0.000 0.563
Si 0.500 0.500 0.562
O 0.000 0.000 0.122
O 0.271 0.271 0.664
O 0.271 0.729 0.664
O 0.500 0.500 0.197
O 0.729 0.271 0.664
O 0.729 0.729 0.664



No. 9
! PuFe2Co (GGA-PBE, optimized geometry); values from VASP
! **Formation enthalpy at 0 K**: 0.11 eV per atom
! **Total DFT energy (no corrections)**: -37.92 eV per formula unit
&SYSTEM
  ibrav = 0, nat = 12, ntyp = 3
/
ATOMIC_SPECIES
Pu 244.00 Pu.upf
Fe 55.84 Fe.upf
Co 58.93 Co.upf
CELL_PARAMETERS angstrom
4.302 0.000 0.000
-2.151 3.726 0.000
0.000 0.000 10.604
ATOMIC_POSITIONS crystal
Pu 0.000 0.000 0.000
Pu 0.333 0.667 0.667
Pu 0.667 0.333 0.333
Fe 0.000 0.000 0.218
Fe 0.000 0.000 0.782
Fe 0.333 0.667 0.448
Fe 0.333 0.667 0.885
Fe 0.667 0.333 0.115
Fe 0.667 0.333 0.552
Co 0.000 0.000 0.500
Co 0.333 0.667 0.167
Co 0.667 0.333 0.833



No. 10
! NbInMo2 (GGA-PBE, optimized geometry); values from VASP
! **Formation enthalpy at 0 K**: 0.85 eV per atom
! **Total DFT energy (no corrections)**: -31.06 eV per formula unit
&SYSTEM
  ibrav = 0, nat = 16, ntyp = 3
/
ATOMIC_SPECIES
Nb 92.91 Nb.upf
In 114.82 In.upf
Mo 95.94 Mo.upf
CELL_PARAMETERS angstrom
7.433 0.000 0.000
0.000 7.433 0.000
0.000 0.000 5.606
ATOMIC_POSITIONS crystal
Nb 0.000 0.000 0.000
Nb 0.000 0.500 0.250
Nb 0.500 0.000 0.750
Nb 0.500 0.500 0.500
In 0.000 0.000 0.500
In 0.000 0.500 0.750
In 0.500 0.000 0.250
In 0.500 0.500 0.000
Mo 0.220 0.250 0.125
Mo 0.250 0.720 0.375
Mo 0.250 0.780 0.875
Mo 0.280 0.250 0.625
Mo 0.720 0.750 0.625
Mo 0.750 0.220 0.875
Mo 0.750 0.280 0.375
Mo 0.780 0.750 0.125



No. 11
! Pm2EuCd (GGA-PBE, optimized geometry); values from VASP
! **Formation enthalpy at 0 K**: -0.04 eV per atom
! **Total DFT energy (no corrections)**: -20.83 eV per formula unit
&SYSTEM
  ibrav = 0, nat = 16, ntyp = 3
/
ATOMIC_SPECIES
Pm 145.00 Pm.upf
Eu 151.96 Eu.upf
Cd 112.41 Cd.upf
CELL_PARAMETERS angstrom
7.933 0.000 0.000
0.000 7.933 0.000
0.000 0.000 7.933
ATOMIC_POSITIONS crystal
Pm 0.250 0.250 0.250
Pm 0.250 0.250 0.750
Pm 0.250 0.750 0.250
Pm 0.250 0.750 0.750
Pm 0.750 0.250 0.250
Pm 0.750 0.250 0.750
Pm 0.750 0.750 0.250
Pm 0.750 0.750 0.750
Eu 0.000 0.000 0.000
Eu 0.000 0.500 0.500
Eu 0.500 0.000 0.500
Eu 0.500 0.500 0.000
Cd 0.000 0.000 0.500
Cd 0.000 0.500 0.000
Cd 0.500 0.000 0.000
Cd 0.500 0.500 0.500



No. 12
! NaUIn2 (GGA-PBE, optimized geometry); values from VASP
! **Formation enthalpy at 0 K**: 0.06 eV per atom
! **Total DFT energy (no corrections)**: -17.85 eV per formula unit
&SYSTEM
  ibrav = 0, nat = 4, ntyp = 3
/
ATOMIC_SPECIES
Na 22.99 Na.upf
U 238.03 U.upf
In 114.82 In.upf
CELL_PARAMETERS angstrom
3.083 0.000 0.000
0.000 3.083 0.000
0.000 0.000 10.291
ATOMIC_POSITIONS crystal
Na 0.000 0.000 0.000
U 0.000 0.000 0.500
In 0.500 0.500 0.252
In 0.500 0.500 0.748